Below is a geometry-optimized Ga4Cu7Au3 structure, with properties calculated at the GGA-PBE level.

Cell lengths 4.122, 6.591, 8.170 Å; angles 83.95, 75.39, 71.78 degrees
Sites, in units of the cell vectors:
Cu (0.000, 0.000, 0.000)
Cu (0.660, 0.173, 0.507)
Cu (0.819, 0.439, 0.924)
Cu (0.181, 0.561, 0.076)
Cu (0.558, 0.795, 0.089)
Au (0.293, 0.157, 0.257)
Ga (0.925, 0.856, 0.295)
Cu (0.442, 0.205, 0.911)
Ga (0.075, 0.144, 0.705)
Ga (0.352, 0.553, 0.743)
Au (0.000, 0.500, 0.500)
Ga (0.648, 0.447, 0.257)
Cu (0.340, 0.827, 0.493)
Au (0.707, 0.843, 0.743)

Formation energy from the elements = -1.25 eV per formula unit
Magnetization = 0.000 μB per formula unit
Total DFT energy (no corrections) = -0.136 Ha/atom